# DyNp2PaS4, relaxed, DFT PBE
data_DyNp2PaS4
_cell_length_a 3.900
_cell_length_b 6.833
_cell_length_c 6.678
_cell_angle_alpha 109.62
_cell_angle_beta 90.00
_cell_angle_gamma 90.00
_symmetry_space_group_name_H-M 'P 1'
_symmetry_Int_Tables_number 1
loop_
_symmetry_equiv_pos_as_xyz
'x,y,z'
loop_
_atom_site_label
_atom_site_type_symbol
_atom_site_fract_x
_atom_site_fract_y
_atom_site_fract_z
S1 S 0.500 0.751 0.751
S2 S 0.500 0.249 0.249
S3 S 0.000 0.246 0.749
S4 S 0.000 0.754 0.251
Np1 Np 0.000 0.500 0.500
Np2 Np 0.500 0.000 0.500
Pa1 Pa 0.500 0.500 0.000
Dy1 Dy 0.000 0.000 0.000
# ρ   9.87 g/cm³
# E_form (uncorrected)   -1.589 eV/atom